Entry 1:
A relaxed Cu2NO crystal, computed with PBE.

Output
magnetization = 5.1 Bohr magnetons per cell
volume = 36.2 Å³/f.u.
formation energy (no corrections) = 0.7497 eV per atom
E above lowest polymorph = 51.0 kJ per mole of atoms
calculated total energy = -4.619 eV/atom

Cell: 5.249 5.249 5.249 Å, 90.00 90.00 90.00°
Space group Fm-3m (No. 225)
Inequivalent atoms, fractional coordinates:
Cu 0.250 0.250 0.250 x8
N 0.000 0.000 0.000 x4
O 0.000 0.000 0.500 x4

***

Entry 2:
A relaxed CuN2O2 crystal, computed with PBE.

Output
magnetization = 0.5 Bohr magnetons per cell
volume = 52.8 Å³/f.u.
formation energy (no corrections) = 2.3821 eV per atom
E above lowest polymorph = 227.5 kJ per mole of atoms
calculated total energy = -3.751 eV/atom

Cell: 3.830 3.830 3.598 Å, 90.00 90.00 90.00°
Space group P4/mmm (No. 123)
Inequivalent atoms, fractional coordinates:
Cu 0.000 0.000 0.000 x1
N 0.000 0.500 0.000 x2
O 0.000 0.000 0.500 x1
O 0.500 0.500 0.500 x1

***

Entry 3:
A relaxed Cu3NO crystal, computed with PBE.

Output
magnetization = 0.0 Bohr magnetons per cell
volume = 54.6 Å³/f.u.
formation energy (no corrections) = 0.3625 eV per atom
E above lowest polymorph = 0.0 kJ per mole of atoms
calculated total energy = -4.752 eV/atom

Cell: 3.795 3.795 3.795 Å, 90.00 90.00 90.00°
Space group Pm-3m (No. 221)
Inequivalent atoms, fractional coordinates:
Cu 0.000 0.000 0.500 x3
N 0.000 0.000 0.000 x1
O 0.500 0.500 0.500 x1

***

Entry 4:
A relaxed CuN2O2 crystal, computed with PBE.

Output
magnetization = 2.2 Bohr magnetons per cell
volume = 45.7 Å³/f.u.
formation energy (no corrections) = 2.2872 eV per atom
E above lowest polymorph = 218.3 kJ per mole of atoms
calculated total energy = -3.845 eV/atom

Cell: 3.563 3.563 3.602 Å, 90.00 90.00 90.00°
Space group P4/mmm (No. 123)
Inequivalent atoms, fractional coordinates:
Cu 0.000 0.000 0.000 x1
N 0.000 0.500 0.500 x2
O 0.500 0.500 0.000 x1
O 0.500 0.500 0.500 x1

***

Entry 5:
A relaxed CuN2O2 crystal, computed with PBE.

Output
magnetization = 0.2 Bohr magnetons per cell
volume = 50.6 Å³/f.u.
formation energy (no corrections) = 2.2812 eV per atom
E above lowest polymorph = 217.8 kJ per mole of atoms
calculated total energy = -3.851 eV/atom

Cell: 3.668 3.668 3.764 Å, 90.00 90.00 90.00°
Space group P4/mmm (No. 123)
Inequivalent atoms, fractional coordinates:
Cu 0.000 0.000 0.000 x1
N 0.000 0.000 0.500 x1
N 0.500 0.500 0.500 x1
O 0.000 0.500 0.000 x2

***

Entry 6:
A relaxed CuPNO2 crystal, computed with PBE.

Output
magnetization = 0.0 Bohr magnetons per cell
volume = 43.1 Å³/f.u.
formation energy (no corrections) = -0.0896 eV per atom
calculated total energy = -5.639 eV/atom

Cell: 3.276 3.276 4.013 Å, 90.00 90.00 90.00°
Space group P4/mmm (No. 123)
Inequivalent atoms, fractional coordinates:
Cu 0.000 0.000 0.000 x1
P 0.500 0.500 0.500 x1
N 0.500 0.500 0.000 x1
O 0.000 0.500 0.500 x2

***

Entry 7:
A relaxed CuPNO2 crystal, computed with PBE.

Output
magnetization = 0.0 Bohr magnetons per cell
volume = 51.9 Å³/f.u.
formation energy (no corrections) = 0.9613 eV per atom
calculated total energy = -4.588 eV/atom

Cell: 3.691 3.691 3.806 Å, 90.00 90.00 90.00°
Space group P4/mmm (No. 123)
Inequivalent atoms, fractional coordinates:
Cu 0.000 0.000 0.000 x1
P 0.500 0.500 0.500 x1
N 0.000 0.000 0.500 x1
O 0.000 0.500 0.000 x2

***

Entry 8:
A relaxed CuPNO2 crystal, computed with PBE.

Output
magnetization = 2.0 Bohr magnetons per cell
volume = 63.0 Å³/f.u.
formation energy (no corrections) = 1.1859 eV per atom
calculated total energy = -4.364 eV/atom

Cell: 3.502 3.502 5.133 Å, 90.00 90.00 90.00°
Space group P4/mmm (No. 123)
Inequivalent atoms, fractional coordinates:
Cu 0.000 0.000 0.000 x1
P 0.000 0.000 0.500 x1
N 0.500 0.500 0.500 x1
O 0.000 0.500 0.000 x2

***

Entry 9:
A relaxed CuP2NO crystal, computed with PBE.

Output
magnetization = 0.0 Bohr magnetons per cell
volume = 57.4 Å³/f.u.
formation energy (no corrections) = 1.0183 eV per atom
E above lowest polymorph = 0.0 kJ per mole of atoms
calculated total energy = -4.622 eV/atom

Cell: 3.928 3.928 3.723 Å, 90.00 90.00 90.00°
Space group P4/mmm (No. 123)
Inequivalent atoms, fractional coordinates:
Cu 0.000 0.000 0.000 x1
P 0.000 0.500 0.500 x2
N 0.500 0.500 0.500 x1
O 0.500 0.500 0.000 x1

***

Entry 10:
A relaxed CuP2NO crystal, computed with PBE.

Output
magnetization = 0.0 Bohr magnetons per cell
volume = 70.3 Å³/f.u.
formation energy (no corrections) = 1.5228 eV per atom
E above lowest polymorph = 48.7 kJ per mole of atoms
calculated total energy = -4.117 eV/atom

Cell: 4.475 4.475 3.508 Å, 90.00 90.00 90.00°
Space group P4/mmm (No. 123)
Inequivalent atoms, fractional coordinates:
Cu 0.000 0.000 0.000 x1
P 0.000 0.500 0.000 x2
N 0.500 0.500 0.500 x1
O 0.000 0.000 0.500 x1

***

Entry 11:
A relaxed CuPNO2 crystal, computed with PBE.

Output
magnetization = 0.0 Bohr magnetons per cell
volume = 51.6 Å³/f.u.
formation energy (no corrections) = 1.1194 eV per atom
calculated total energy = -4.430 eV/atom

Cell: 3.810 3.810 3.553 Å, 90.00 90.00 90.00°
Space group P4/mmm (No. 123)
Inequivalent atoms, fractional coordinates:
Cu 0.000 0.000 0.000 x1
P 0.500 0.500 0.000 x1
N 0.500 0.500 0.500 x1
O 0.000 0.500 0.500 x2

***

Entry 12:
A relaxed CuPbN2O crystal, computed with PBE.

Output
magnetization = 3.1 Bohr magnetons per cell
volume = 82.1 Å³/f.u.
formation energy (no corrections) = 1.6923 eV per atom
calculated total energy = -4.190 eV/atom

Cell: 4.403 4.403 4.233 Å, 90.00 90.00 90.00°
Space group P4/mmm (No. 123)
Inequivalent atoms, fractional coordinates:
Cu 0.000 0.000 0.000 x1
Pb 0.500 0.500 0.500 x1
N 0.000 0.500 0.500 x2
O 0.500 0.500 0.000 x1

***

Please write out number 4 again, unchanged.
A relaxed CuN2O2 crystal, computed with PBE.

Output
magnetization = 2.2 Bohr magnetons per cell
volume = 45.7 Å³/f.u.
formation energy (no corrections) = 2.2872 eV per atom
E above lowest polymorph = 218.3 kJ per mole of atoms
calculated total energy = -3.845 eV/atom

Cell: 3.563 3.563 3.602 Å, 90.00 90.00 90.00°
Space group P4/mmm (No. 123)
Inequivalent atoms, fractional coordinates:
Cu 0.000 0.000 0.000 x1
N 0.000 0.500 0.500 x2
O 0.500 0.500 0.000 x1
O 0.500 0.500 0.500 x1